No. 1
A relaxed DyPd4Pt crystal, computed with PBE.

The structure in extended XYZ format:
```
6
Lattice="5.2876 0.0000 0.0000 2.6438 4.5792 0.0000 2.6438 1.5264 4.3173" Properties=species:S:1:pos:R:3 pbc="T T T"
Pd 3.9731 3.8117 2.6953
Pd 5.2876 1.5350 2.6953
Pd 5.2876 3.0528 0.5488
Pd 6.6020 3.8117 2.6953
Pt 2.6438 1.5264 1.0793
Dy 0.0000 0.0000 0.0000
```

Crystal system = cubic
Symmetry = F-43m
Uncorrected energy = -5.73 eV per atom
Distance to the lowest polymorph of the same formula = 110.4 meV per atom
E_form = -0.49 eV per atom
Volume = 17.4 Å³/atom

=====

No. 2
A relaxed Ti8Sb2As3 crystal, computed with PBE.

The structure in extended XYZ format:
```
13
Lattice="6.1171 0.0000 0.2919 0.0000 7.0702 0.0000 -2.1908 -3.5351 6.5510" Properties=species:S:1:pos:R:3 pbc="T T T"
Ti 4.2221 3.5351 0.9237
Ti 5.1347 0.0000 1.5438
Ti 1.9076 1.7289 5.2996
Ti 2.0186 5.2640 1.5433
Ti -0.2958 0.0000 5.9192
Ti 2.0186 1.8061 1.5433
Ti -1.2085 3.5351 5.2991
Ti 1.9076 -1.7289 5.2996
As 0.0000 1.9104 0.0000
As 3.0585 0.0000 0.1459
As 0.0000 5.1598 0.0000
Sb 3.1398 3.5351 3.4701
Sb 0.7864 0.0000 3.3728
```

Crystal system = monoclinic
Symmetry = C2/m
Uncorrected energy = -6.89 eV per atom
Volume = 22.1 Å³/atom

=====

No. 3
A relaxed TlSiPt2 crystal, computed with PBE.

The structure in extended XYZ format:
```
4
Lattice="0.0000 3.2569 3.2569 3.2569 0.0000 3.2569 3.2569 3.2569 0.0000" Properties=species:S:1:pos:R:3 pbc="T T T"
Pt 4.8854 4.8854 4.8854
Pt 1.6285 1.6285 1.6285
Si 0.0000 0.0000 0.0000
Tl 3.2569 3.2569 3.2569
```

Crystal system = cubic
Symmetry = Fm-3m
Uncorrected energy = -4.87 eV per atom
Volume = 17.3 Å³/atom

=====

No. 4
A relaxed NbCS2N crystal, computed with PBE.

The structure in extended XYZ format:
```
5
Lattice="-1.3035 2.3743 -3.0016 -3.5223 0.4960 1.9220 1.3197 2.8516 1.6826" Properties=species:S:1:pos:R:3 pbc="T T T"
S -1.7611 0.2480 0.9610
S -0.6518 1.1872 -1.5008
C 0.0000 0.0000 0.0000
N 0.6598 1.4258 0.8413
Nb -1.7531 2.8610 0.3015
```

Crystal system = tetragonal
Symmetry = P4/mmm
Uncorrected energy = -5.92 eV per atom
Distance to the lowest polymorph of the same formula = 0.0 meV per atom
Volume = 11.7 Å³/atom

=====

No. 5
A relaxed AlNiAs2Se crystal, computed with PBE.

The structure in extended XYZ format:
```
5
Lattice="4.5430 0.0000 0.0000 0.0000 4.5430 0.0000 0.0000 0.0000 4.9685" Properties=species:S:1:pos:R:3 pbc="T T T"
Al 2.2715 2.2715 2.4842
As 2.2715 0.0000 0.0000
As 0.0000 2.2715 0.0000
Ni 0.0000 0.0000 0.0000
Se 0.0000 0.0000 2.4842
```

Crystal system = tetragonal
Symmetry = P4/mmm
Uncorrected energy = -4.06 eV per atom
Distance to the lowest polymorph of the same formula = 0.0 meV per atom
Volume = 20.5 Å³/atom

=====

No. 6
A relaxed PdPt4Au2 crystal, computed with PBE.

The structure in extended XYZ format:
```
7
Lattice="0.1015 -1.4704 -2.3968 2.0574 -1.5810 1.0570 -9.9531 -8.6021 6.5074" Properties=species:S:1:pos:R:3 pbc="T T T"
Pt -0.2970 -2.0406 1.2393
Pt -2.6178 -3.2514 0.2323
Pt -7.4972 -9.6129 3.9283
Pt -7.2339 -6.8211 3.8783
Au -4.7105 -6.9852 2.4342
Au -3.0837 -4.6682 2.7333
Pd 0.0507 -0.7352 -1.1984
```

Crystal system = orthorhombic
Symmetry = Cmmm
Uncorrected energy = -5.11 eV per atom
E_form = 0.02 eV per atom
Volume = 16.5 Å³/atom

=====

No. 7
A relaxed GdNiRu crystal, computed with PBE.

The structure in extended XYZ format:
```
3
Lattice="3.8655 0.0000 0.0000 0.0000 4.1216 0.0000 0.0000 -2.0608 3.5694" Properties=species:S:1:pos:R:3 pbc="T T T"
Gd 2.5770 2.0608 1.1898
Ru 0.6441 0.0000 2.3796
Ni 0.6443 0.0000 0.0000
```

Crystal system = hexagonal
Symmetry = P-6m2
Uncorrected energy = -9.87 eV per atom
E_form = -0.16 eV per atom
Volume = 19.0 Å³/atom

=====

No. 8
A relaxed PrYPaO6 crystal, computed with PBE.

The structure in extended XYZ format:
```
9
Lattice="-0.0958 0.6871 4.6383 -3.2231 -4.9351 0.6645 5.9227 -0.2813 0.1640" Properties=species:S:1:pos:R:3 pbc="T T T"
Pa 2.8741 -1.8325 0.3308
O 4.6574 -1.3391 3.8403
O 1.8524 -2.8982 4.0133
O 1.8976 0.2808 3.5433
O 1.0020 -1.5036 1.4397
O 3.9150 -0.1531 1.2999
O 3.6329 -3.3209 1.7633
Pr -0.2224 -3.0403 2.8168
Y -0.0479 0.3435 2.3191
```

Crystal system = trigonal
Symmetry = P312
Uncorrected energy = -8.74 eV per atom
Volume = 15.9 Å³/atom

=====

Question: Which of these has the highest uncorrected energy?
Answer: AlNiAs2Se

=====

Repeat the eighth record exactly.
A relaxed PrYPaO6 crystal, computed with PBE.

The structure in extended XYZ format:
```
9
Lattice="-0.0958 0.6871 4.6383 -3.2231 -4.9351 0.6645 5.9227 -0.2813 0.1640" Properties=species:S:1:pos:R:3 pbc="T T T"
Pa 2.8741 -1.8325 0.3308
O 4.6574 -1.3391 3.8403
O 1.8524 -2.8982 4.0133
O 1.8976 0.2808 3.5433
O 1.0020 -1.5036 1.4397
O 3.9150 -0.1531 1.2999
O 3.6329 -3.3209 1.7633
Pr -0.2224 -3.0403 2.8168
Y -0.0479 0.3435 2.3191
```

Crystal system = trigonal
Symmetry = P312
Uncorrected energy = -8.74 eV per atom
Volume = 15.9 Å³/atom